GaNiHgC: optimized geometry, GGA-PBE.

Cell: 3.639 3.539 5.987 Å, 90.00 107.44 90.00°
Sites, in units of the cell vectors:
1 Ni 0.565 0.500 0.021
2 C 0.062 0.500 0.016
3 Hg 0.747 0.000 0.388
4 Ga 0.977 0.000 0.845

Results
VASP energy in eV/cell: -16.44
Total magnetic moment in μB per formula unit: 0.0